SbCl2: optimized geometry, PBE.

Cell: 14.2507 14.2507 3.9124 Å, 90.00 90.00 166.82°
Element x y z (fractional)
Sb: 0.1239 0.8761 0.7500
Sb: 0.8761 0.1239 0.2500
Cl: 0.1872 0.8128 0.2500
Cl: 0.4334 0.5666 0.7500
Cl: 0.5666 0.4334 0.2500
Cl: 0.8128 0.1872 0.7500

Calculated values
* E_tot: -3.129 eV/atom
* ΔE_f (raw): -0.524 eV per atom
* volume: 30.20 Å³ per atom
* space-group type: No. 63
* density: 3.53 g cm⁻³

***

In8Hg3Bi2: optimized geometry, PBE.

Cell: 5.8394 6.1777 11.4997 Å, 76.51 83.92 69.67°
Element x y z (fractional)
In: 0.0020 0.1122 0.2573
In: 0.3201 0.2671 0.7055
In: 0.3503 0.4352 0.2989
In: 0.4902 0.1801 0.0784
In: 0.5098 0.8199 0.9216
In: 0.6497 0.5648 0.7011
In: 0.6799 0.7329 0.2945
In: 0.9980 0.8878 0.7427
Hg: 0.1162 0.7111 0.4975
Hg: 0.5000 0.0000 0.5000
Hg: 0.8838 0.2889 0.5025
Bi: 0.0410 0.7071 0.0519
Bi: 0.9590 0.2929 0.9481

Calculated values
* E_tot: -2.313 eV/atom
* volume: 29.09 Å³ per atom
* DFT formation energy: 0.04 eV per atom
* space-group type: No. 2
* density: 8.51 g cm⁻³

***

CeTmPa2N4: optimized geometry, PBE.

Cell: 6.0259 3.4912 6.0907 Å, 90.00 109.34 90.00°
Element x y z (fractional)
Ce: 0.0000 0.0000 0.0000
Tm: 0.0000 0.5000 0.5000
Pa: 0.5000 0.0000 0.5000
Pa: 0.5000 0.5000 0.0000
N: 0.2574 0.0000 0.7418
N: 0.2638 0.5000 0.2670
N: 0.7362 0.5000 0.7330
N: 0.7426 0.0000 0.2582

Calculated values
* E_tot: -9.477 eV/atom
* ΔE_f (raw): -1.640 eV per atom
* volume: 15.11 Å³ per atom
* space-group type: No. 10
* density: 11.36 g cm⁻³

***

CsLiCd2Pb: optimized geometry, PBE.

Cell: 6.1112 6.1112 5.4843 Å, 90.00 90.00 90.00°
Element x y z (fractional)
Cs: 0.0000 0.0000 0.0000
Li: 0.5000 0.5000 0.0000
Cd: 0.0000 0.5000 0.5000
Cd: 0.5000 0.0000 0.5000
Pb: 0.5000 0.5000 0.5000

Calculated values
* E_tot: -1.649 eV/atom
* volume: 40.96 Å³ per atom
* DFT formation energy: 0.01 eV per atom
* space-group type: No. 123
* density: 4.64 g cm⁻³

***

Repeat the first record exactly.
SbCl2: optimized geometry, PBE.

Cell: 14.2507 14.2507 3.9124 Å, 90.00 90.00 166.82°
Element x y z (fractional)
Sb: 0.1239 0.8761 0.7500
Sb: 0.8761 0.1239 0.2500
Cl: 0.1872 0.8128 0.2500
Cl: 0.4334 0.5666 0.7500
Cl: 0.5666 0.4334 0.2500
Cl: 0.8128 0.1872 0.7500

Calculated values
* E_tot: -3.129 eV/atom
* ΔE_f (raw): -0.524 eV per atom
* volume: 30.20 Å³ per atom
* space-group type: No. 63
* density: 3.53 g cm⁻³